Entry 1:
4
Lattice="0.0000 3.1028 3.1028 3.1028 0.0000 3.1028 3.1028 3.1028 0.0000" Properties=species:S:1:pos:R:3 comment="MnMoPt2, PBEsol geometry, DFT meta-GGA SCAN" formation_energy_mev_per_atom=-245 pbc="T T T"
Mn 0.0000 0.0000 0.0000
Mo 3.1028 3.1028 3.1028
Pt 1.5514 1.5514 1.5514
Pt 4.6542 4.6542 4.6542

=====

Entry 2:
4
Lattice="2.6974 -3.9165 0.0000 2.6974 3.9165 0.0000 0.0000 0.0000 2.7171" Properties=species:S:1:pos:R:3 comment="MnMoPt2, PBEsol geometry, DFT meta-GGA SCAN" formation_energy_mev_per_atom=-501 pbc="T T T"
Mn 0.0000 0.0000 0.0000
Mo 2.6974 0.0000 0.0000
Pt 1.3487 1.9582 1.3585
Pt 1.3487 -1.9582 1.3585

=====

Entry 3:
4
Lattice="-1.9231 1.9231 3.8414 1.9231 -1.9231 3.8414 1.9231 1.9231 -3.8414" Properties=species:S:1:pos:R:3 comment="MnMoPt2, PBEsol geometry, DFT meta-GGA SCAN" formation_energy_mev_per_atom=-415 pbc="T T T"
Mn 0.0000 0.0000 0.0000
Mo 1.9231 0.0000 1.9207
Pt 0.0000 0.0000 3.8414
Pt 0.0000 1.9231 1.9207

=====

Entry 4:
5
Lattice="4.6047 0.0000 0.0000 0.0000 4.6047 0.0000 0.0000 0.0000 4.6047" Properties=species:S:1:pos:R:3 comment="RbMnMo3, PBEsol geometry, DFT meta-GGA SCAN" formation_energy_mev_per_atom=1803 pbc="T T T"
Rb 0.0000 0.0000 0.0000
Mn 2.3024 2.3024 2.3024
Mo 0.0000 2.3024 2.3024
Mo 2.3024 0.0000 2.3024
Mo 2.3024 2.3024 0.0000

=====

Entry 5:
4
Lattice="1.5379 -2.1034 0.0000 1.5379 2.1034 0.0000 0.0000 0.0000 8.0513" Properties=species:S:1:pos:R:3 comment="Mn2ReMo, PBEsol geometry, DFT meta-GGA SCAN" formation_energy_mev_per_atom=120 pbc="T T T"
Mn 0.0000 0.0000 0.0000
Mn 1.5379 0.0000 1.7928
Re 0.0000 0.0000 3.7808
Mo 1.5379 0.0000 6.0425

=====

Entry 6:
4
Lattice="3.0133 0.0000 0.0000 0.0000 3.0133 0.0000 0.0000 0.0000 5.7329" Properties=species:S:1:pos:R:3 comment="Mn2ReMo, PBEsol geometry, DFT meta-GGA SCAN" formation_energy_mev_per_atom=34 pbc="T T T"
Mn 0.0000 0.0000 0.0000
Mn 1.5066 1.5066 1.3562
Re 1.5066 1.5066 4.3690
Mo 0.0000 0.0000 2.7156

=====

Entry 7:
4
Lattice="1.3275 0.7664 8.5225 -1.3275 0.7664 8.5225 0.0000 -1.5329 8.5225" Properties=species:S:1:pos:R:3 comment="Mn2ReMo, PBEsol geometry, DFT meta-GGA SCAN" formation_energy_mev_per_atom=235 pbc="T T T"
Mn 0.0000 0.0000 6.3501
Mn 0.0000 0.0000 19.2174
Re 0.0000 0.0000 12.7837
Mo 0.0000 0.0000 0.0000

=====

Entry 8:
4
Lattice="4.3011 0.0000 0.0000 0.0000 4.3011 0.0000 0.0000 0.0000 3.0903" Properties=species:S:1:pos:R:3 comment="MnReMo2, PBEsol geometry, DFT meta-GGA SCAN" formation_energy_mev_per_atom=-6 pbc="T T T"
Mn 0.0000 0.0000 0.0000
Re 2.1506 2.1506 0.0000
Mo 0.0000 2.1506 1.5452
Mo 2.1506 0.0000 1.5452